No. 1
A plane-wave DFT calculation with PBE-GGA was carried out for a geometry-optimized PmHfTe structure.

Space-group type: No. 216
DFT total energy: -5.42 eV per atom
Excess energy over the best structure of this formula in the dataset: 627.5 meV/atom

a b c (Å): 5.2176 5.2176 5.2176
angles (deg): 60.00 60.00 60.00
Atoms (fractional coordinates):
Te  0.0000  0.0000  0.0000
Hf  0.5000  0.5000  0.5000
Pm  0.2500  0.2500  0.2500



No. 2
A plane-wave DFT calculation with PBE-GGA was carried out for a geometry-optimized PmHf4Tl2 structure.

Space-group type: No. 65
DFT total energy: -6.82 eV per atom

a b c (Å): 7.2995 7.2995 3.6138
angles (deg): 90.00 90.00 108.27
Atoms (fractional coordinates):
Hf  0.6744  0.6744  0.5000
Hf  0.6516  0.3484  0.0000
Hf  0.3484  0.6516  0.0000
Hf  0.3256  0.3256  0.5000
Tl  0.0000  0.5000  0.5000
Tl  0.5000  0.0000  0.5000
Pm  0.0000  0.0000  0.0000



No. 3
A plane-wave DFT calculation with PBE-GGA was carried out for a geometry-optimized PmTmHf structure.

Space-group type: No. 216
ΔH_f (0 K): 0.86 eV per atom
DFT total energy: -5.53 eV per atom
Excess energy over the best structure of this formula in the dataset: 0.0 meV/atom

a b c (Å): 5.1969 5.1969 5.1969
angles (deg): 60.00 60.00 60.00
Atoms (fractional coordinates):
Hf  0.0000  0.0000  0.0000
Pm  0.2500  0.2500  0.2500
Tm  0.7500  0.7500  0.7500